Here is Sm3Al2Sn2 after structural relaxation from the Alexandria database. Energies are from PBE.

The structure in CIF format:
```
data_Sm3Al2Sn2
_symmetry_space_group_name_H-M 'I m m m'
_symmetry_Int_Tables_number 71
_symmetry_space_group_name_Hall '-I 2 2'
_cell_length_a 4.3238
_cell_length_b 4.4763
_cell_length_c 19.3755
_cell_angle_alpha 90.00
_cell_angle_beta 90.00
_cell_angle_gamma 90.00
loop_
_atom_site_label
_atom_site_type_symbol
_atom_site_fract_x
_atom_site_fract_y
_atom_site_fract_z
Sm1 Sm 0.0000 0.0000 0.0000
Sm2 Sm 0.0000 0.5000 0.3159
Al1 Al 0.0000 0.0000 0.4357
Sn1 Sn 0.0000 0.5000 0.1485
```

Calculated values
Crystal system: orthorhombic
ΔH_f (0 K): -622 meV/atom
N(E_F): 0.811 states/eV per atom
Uncorrected energy: -4.8577 eV/atom


Here is CaPbBr after structural relaxation from the Alexandria database. Energies are from PBE.

The structure in CIF format:
```
data_CaPbBr
_symmetry_space_group_name_H-M 'P -6 m 2'
_symmetry_Int_Tables_number 187
_symmetry_space_group_name_Hall 'P -6 2'
_cell_length_a 5.1194
_cell_length_b 5.1194
_cell_length_c 4.1553
_cell_angle_alpha 90.00
_cell_angle_beta 90.00
_cell_angle_gamma 120.00
loop_
_atom_site_label
_atom_site_type_symbol
_atom_site_fract_x
_atom_site_fract_y
_atom_site_fract_z
Ca1 Ca 0.0000 0.0000 0.0000
Pb1 Pb 0.6667 0.3333 0.5000
Br1 Br 0.3333 0.6667 0.0000
```

Calculated values
Crystal system: hexagonal
ΔE_f (raw): -14.006 kcal/mol of atoms
N(E_F): 0.571 states/eV per atom
Energy above the most stable polymorph in this dataset: 344 meV per atom
Uncorrected energy: -3.0683 eV/atom


Here is CaDyPd4 after structural relaxation from the Alexandria database. Energies are from PBE.

The structure in CIF format:
```
data_CaDyPd4
_symmetry_space_group_name_H-M 'F -4 3 m'
_symmetry_Int_Tables_number 216
_symmetry_space_group_name_Hall 'F -4 2 3'
_cell_length_a 7.7063
_cell_length_b 7.7063
_cell_length_c 7.7063
_cell_angle_alpha 90.00
_cell_angle_beta 90.00
_cell_angle_gamma 90.00
loop_
_atom_site_label
_atom_site_type_symbol
_atom_site_fract_x
_atom_site_fract_y
_atom_site_fract_z
Ca1 Ca 0.0000 0.0000 0.0000
Dy1 Dy 0.2500 0.2500 0.7500
Pd1 Pd 0.1250 0.1250 0.3750
```

Calculated values
Crystal system: cubic
ΔH_f (0 K): -742 meV/atom
N(E_F): 0.984 states/eV per atom
Energy above the most stable polymorph in this dataset: 0 meV per atom
Uncorrected energy: -5.3044 eV/atom


Here is Li2SmHo2Mg5 after structural relaxation from the Alexandria database. Energies are from PBE.

The structure in CIF format:
```
data_Li2SmHo2Mg5
_symmetry_space_group_name_H-M 'P 4/m b m'
_symmetry_Int_Tables_number 127
_symmetry_space_group_name_Hall '-P 4 2ab'
_cell_length_a 10.5809
_cell_length_b 10.5809
_cell_length_c 4.4254
_cell_angle_alpha 90.00
_cell_angle_beta 90.00
_cell_angle_gamma 90.00
loop_
_atom_site_label
_atom_site_type_symbol
_atom_site_fract_x
_atom_site_fract_y
_atom_site_fract_z
Li1 Li 0.1138 0.3862 0.0000
Sm1 Sm 0.0000 0.0000 0.0000
Ho1 Ho 0.1802 0.6802 0.0000
Mg1 Mg 0.0000 0.5000 0.5000
Mg2 Mg 0.0627 0.2165 0.5000
```

Calculated values
Crystal system: tetragonal
ΔH_f (0 K): -14 meV/atom
N(E_F): 0.849 states/eV per atom
Uncorrected energy: -2.5817 eV/atom


Here is LiNbAs after structural relaxation from the Alexandria database. Energies are from PBE.

The structure in CIF format:
```
data_LiNbAs
_symmetry_space_group_name_H-M 'P 4/n m m'
_symmetry_Int_Tables_number 129
_cell_length_a 3.9671
_cell_length_b 3.9671
_cell_length_c 6.9464
_cell_angle_alpha 90.00
_cell_angle_beta 90.00
_cell_angle_gamma 90.00
loop_
_symmetry_equiv_pos_as_xyz
'x,y,z'
'-x,-y,-z'
'-y+1/2,x,z'
'y+1/2,-x,-z'
'-x+1/2,-y+1/2,z'
'x+1/2,y+1/2,-z'
'y,-x+1/2,z'
'-y,x+1/2,-z'
'x+1/2,-y,-z'
'-x+1/2,y,z'
'-y,-x,-z'
'y,x,z'
'-x,y+1/2,-z'
'x,-y+1/2,z'
'y+1/2,x+1/2,-z'
'-y+1/2,-x+1/2,z'
loop_
_atom_site_label
_atom_site_type_symbol
_atom_site_fract_x
_atom_site_fract_y
_atom_site_fract_z
Li1 Li 0.2500 0.2500 0.1504
Nb1 Nb 0.2500 0.7500 0.5000
As1 As 0.2500 0.2500 0.7652
```

Calculated values
Crystal system: tetragonal
ΔH_f (0 K): -584 meV/atom
N(E_F): 0.611 states/eV per atom
Uncorrected energy: -6.1279 eV/atom


Here is Th2Ga2Fe2C after structural relaxation from the Alexandria database. Energies are from PBE.

The structure in CIF format:
```
data_Th2Ga2Fe2C
_symmetry_space_group_name_H-M 'C 1 2/m 1'
_symmetry_Int_Tables_number 12
_cell_length_a 10.9390
_cell_length_b 4.1590
_cell_length_c 7.1246
_cell_angle_alpha 90.00
_cell_angle_beta 129.64
_cell_angle_gamma 90.00
loop_
_symmetry_equiv_pos_as_xyz
'x,y,z'
'-x,-y,-z'
'-x,y,-z'
'x,-y,z'
'x+1/2,y+1/2,z'
'-x+1/2,-y+1/2,-z'
'-x+1/2,y+1/2,-z'
'x+1/2,-y+1/2,z'
loop_
_atom_site_label
_atom_site_type_symbol
_atom_site_fract_x
_atom_site_fract_y
_atom_site_fract_z
Th1 Th 0.0504 0.0000 0.3165
Ga1 Ga 0.1673 0.5000 0.1139
Fe1 Fe 0.1923 0.5000 0.7955
C1 C 0.0000 0.5000 0.5000
```

Calculated values
Crystal system: monoclinic
ΔH_f (0 K): -415 meV/atom
N(E_F): 0.522 states/eV per atom
Uncorrected energy: -7.1357 eV/atom


Here is Sc5In2Ru2Rh after structural relaxation from the Alexandria database. Energies are from PBE.

The structure in CIF format:
```
data_Sc5In2Ru2Rh
_symmetry_space_group_name_H-M 'P 4/m b m'
_symmetry_Int_Tables_number 127
_symmetry_space_group_name_Hall '-P 4 2ab'
_cell_length_a 11.1159
_cell_length_b 11.1159
_cell_length_c 3.2529
_cell_angle_alpha 90.00
_cell_angle_beta 90.00
_cell_angle_gamma 90.00
loop_
_atom_site_label
_atom_site_type_symbol
_atom_site_fract_x
_atom_site_fract_y
_atom_site_fract_z
Sc1 Sc 0.0000 0.5000 0.0000
Sc2 Sc 0.0663 0.1957 0.0000
In1 In 0.1760 0.6760 0.5000
Ru1 Ru 0.1349 0.3651 0.5000
Rh1 Rh 0.0000 0.0000 0.5000
```

Calculated values
Crystal system: tetragonal
ΔH_f (0 K): -495 meV/atom
N(E_F): 0.572 states/eV per atom
Uncorrected energy: -6.7986 eV/atom


The lowest uncorrected energy belongs to which entry?
Th2Ga2Fe2C


Copy entry 1 word for word.
Here is Sm3Al2Sn2 after structural relaxation from the Alexandria database. Energies are from PBE.

The structure in CIF format:
```
data_Sm3Al2Sn2
_symmetry_space_group_name_H-M 'I m m m'
_symmetry_Int_Tables_number 71
_symmetry_space_group_name_Hall '-I 2 2'
_cell_length_a 4.3238
_cell_length_b 4.4763
_cell_length_c 19.3755
_cell_angle_alpha 90.00
_cell_angle_beta 90.00
_cell_angle_gamma 90.00
loop_
_atom_site_label
_atom_site_type_symbol
_atom_site_fract_x
_atom_site_fract_y
_atom_site_fract_z
Sm1 Sm 0.0000 0.0000 0.0000
Sm2 Sm 0.0000 0.5000 0.3159
Al1 Al 0.0000 0.0000 0.4357
Sn1 Sn 0.0000 0.5000 0.1485
```

Calculated values
Crystal system: orthorhombic
ΔH_f (0 K): -622 meV/atom
N(E_F): 0.811 states/eV per atom
Uncorrected energy: -4.8577 eV/atom